{
  "formula": "BaLa2Ga2",
  "functional": "PBE",
  "state": "relaxed",
  "cell": [[5.0310, 0.0000, 0.0000], [0.0000, 5.0310, 0.0000], [2.5155, 2.5155, 6.5432]],
  "species": ["Ba", "Ga", "Ga", "La", "La"],
  "frac_coords": [[0.0000, 0.0000, 0.0000], [0.4024, 0.4024, 0.1952], [0.5976, 0.5976, 0.8048], [0.7500, 0.2500, 0.5000], [0.2500, 0.7500, 0.5000]],
  "polymorph_energy_ev_per_atom": 0.050,
  "magmom_total_mub_per_cell": 0.0,
  "crystal_system": "tetragonal",
  "spacegroup": "I4/mmm",
  "n_ef_per_ev_cell": 6.3
}